P:
Computed, not measured: an optimized crystal structure of Pm2HoEr9 at the PBE level of DFT.

Computed properties:
Symmetry: No. 191
N(E_F): 25.8 states/eV/f.u.

Geometry as extended XYZ:
```
12
Lattice="11.8827 0.0000 0.0000 -5.9414 10.2908 0.0000 0.0000 0.0000 5.9018" Properties=species:S:1:pos:R:3 pbc="T T T"
Pm 0.0000 6.8605 0.0000
Pm 5.9414 3.4302 0.0000
Ho 0.0000 0.0000 0.0000
Er -2.9707 5.1454 0.0000
Er -1.6135 5.9289 2.9509
Er 1.6135 5.9289 2.9509
Er 0.0000 8.7236 2.9509
Er 5.9414 0.0000 0.0000
Er 2.9707 5.1454 0.0000
Er 5.9414 1.5671 2.9509
Er 4.3279 4.3618 2.9509
Er 7.5549 4.3618 2.9509
```

=====

Q:
Computed, not measured: an optimized crystal structure of Pm2HoEr9 at the PBE level of DFT.

Computed properties:
Symmetry: No. 123
N(E_F): 16.8 states/eV/f.u.

Geometry as extended XYZ:
```
12
Lattice="4.9942 0.0000 0.0000 0.0000 4.9942 0.0000 0.0000 0.0000 14.9767" Properties=species:S:1:pos:R:3 pbc="T T T"
Pm 0.0000 0.0000 2.5041
Pm 0.0000 0.0000 12.4726
Ho 0.0000 0.0000 7.4883
Er 0.0000 2.4971 0.0000
Er 0.0000 2.4971 5.0182
Er 0.0000 2.4971 9.9584
Er 2.4971 0.0000 0.0000
Er 2.4971 0.0000 5.0182
Er 2.4971 0.0000 9.9584
Er 2.4971 2.4971 2.5130
Er 2.4971 2.4971 7.4883
Er 2.4971 2.4971 12.4636
```

=====

Q: Which of them is the most stable? A: Q.

=====

P:
Computed, not measured: an optimized crystal structure of Pm3Ho2Er2 at the PBE level of DFT.

Computed properties:
Symmetry: No. 12
N(E_F): 8.5 states/eV/f.u.

Geometry as extended XYZ:
```
7
Lattice="5.9228 -1.7868 0.0000 5.9228 1.7868 0.0000 -1.0974 0.0000 10.6571" Properties=species:S:1:pos:R:3 pbc="T T T"
Pm 0.0000 0.0000 0.0000
Pm 1.0597 0.0000 6.0942
Pm 9.6886 0.0000 4.5629
Ho 3.2254 0.0000 1.5064
Ho 7.5228 0.0000 9.1508
Er 4.2768 0.0000 7.6305
Er 6.4715 0.0000 3.0267
```

=====

Q:
Computed, not measured: an optimized crystal structure of Pm3Ho2Er2 at the PBE level of DFT.

Computed properties:
Symmetry: No. 12
N(E_F): 10.9 states/eV/f.u.

Geometry as extended XYZ:
```
7
Lattice="8.7434 -1.7526 0.0000 8.7434 1.7526 0.0000 -4.1150 0.0000 7.4695" Properties=species:S:1:pos:R:3 pbc="T T T"
Pm 0.0000 0.0000 0.0000
Pm 2.4899 0.0000 2.2343
Pm 10.8818 0.0000 5.2352
Ho 5.1861 0.0000 4.4067
Ho 8.1856 0.0000 3.0628
Er -0.8582 0.0000 6.1517
Er 14.2299 0.0000 1.3178
```

=====

Q: Which of them is the most stable? A: P.

=====

P:
Computed, not measured: an optimized crystal structure of PmHo2Er8 at the PBE level of DFT.

Computed properties:
Symmetry: No. 12
N(E_F): 14.3 states/eV/f.u.

Geometry as extended XYZ:
```
11
Lattice="8.9828 -2.4874 0.0000 8.9828 2.4874 0.0000 -2.0747 0.0000 7.6001" Properties=species:S:1:pos:R:3 pbc="T T T"
Pm 0.0000 0.0000 0.0000
Ho 4.1370 0.0000 2.7627
Ho 11.7538 0.0000 4.8374
Er 0.6893 0.0000 3.4682
Er 1.3873 0.0000 6.9042
Er 4.8263 0.0000 6.2095
Er 7.5948 0.0000 2.0804
Er 8.2961 0.0000 5.5197
Er 11.0645 0.0000 1.3906
Er 14.5036 0.0000 0.6959
Er 15.2015 0.0000 4.1319
```

=====

Q:
Computed, not measured: an optimized crystal structure of PmHo2Er8 at the PBE level of DFT.

Computed properties:
Symmetry: No. 71
N(E_F): 14.8 states/eV/f.u.

Geometry as extended XYZ:
```
11
Lattice="-2.7205 4.0197 7.9224 2.7205 -4.0197 7.9224 2.7205 4.0197 -7.9224" Properties=species:S:1:pos:R:3 pbc="T T T"
Pm 0.0000 0.0000 0.0000
Ho 0.0000 0.0000 4.7574
Ho 0.0000 0.0000 11.0874
Er 2.7205 -1.6660 5.7062
Er 2.7205 0.0000 2.5807
Er 2.7205 2.3703 0.0000
Er 0.0000 2.3538 2.2162
Er 2.7205 1.6660 5.7062
Er 0.0000 1.6495 7.9224
Er 0.0000 4.0197 5.3417
Er 0.0000 5.6857 2.2162
```

=====

Q: Which of them is the most stable? A: P.

=====

P:
Computed, not measured: an optimized crystal structure of Pm3Ho2Er3 at the PBE level of DFT.

Computed properties:
Symmetry: No. 71
N(E_F): 11.8 states/eV/f.u.

Geometry as extended XYZ:
```
8
Lattice="-2.5171 2.5211 10.0900 2.5171 -2.5211 10.0900 2.5171 2.5211 -10.0900" Properties=species:S:1:pos:R:3 pbc="T T T"
Pm 0.0000 0.0000 0.0000
Pm 2.5171 0.0000 7.5686
Pm 0.0000 2.5211 2.5214
Ho 0.0000 0.0000 5.0333
Ho 0.0000 0.0000 15.1467
Er 2.5171 0.0000 2.5476
Er 0.0000 0.0000 10.0900
Er 0.0000 2.5211 7.5424
```

=====

Q:
Computed, not measured: an optimized crystal structure of Pm3Ho2Er3 at the PBE level of DFT.

Computed properties:
Symmetry: No. 12
N(E_F): 17.8 states/eV/f.u.

Geometry as extended XYZ:
```
8
Lattice="7.9238 -2.9613 0.0000 7.9238 2.9613 0.0000 -2.2136 0.0000 5.4957" Properties=species:S:1:pos:R:3 pbc="T T T"
Pm 0.0000 0.0000 0.0000
Pm 0.6344 0.0000 3.4523
Pm 12.9996 0.0000 2.0434
Ho 3.4283 0.0000 1.3851
Ho 10.2057 0.0000 4.1105
Er 4.0090 0.0000 4.8118
Er 6.8170 0.0000 2.7478
Er 9.6250 0.0000 0.6839
```

=====

Q: Which of them is the most stable? A: P.

=====

P:
Computed, not measured: an optimized crystal structure of Pm5Ho2Er4 at the PBE level of DFT.

Computed properties:
Symmetry: No. 71
N(E_F): 17.6 states/eV/f.u.

Geometry as extended XYZ:
```
11
Lattice="-1.7550 4.5329 11.7220 1.7550 -4.5329 11.7220 1.7550 4.5329 -11.7220" Properties=species:S:1:pos:R:3 pbc="T T T"
Pm 0.0000 0.0000 0.0000
Pm 1.7550 1.8168 -3.4157
Pm 1.7550 1.8168 3.4157
Pm 0.0000 2.7161 8.3063
Pm 0.0000 2.7161 15.1377
Ho 1.7550 0.0000 6.3174
Ho 0.0000 4.5329 5.4046
Er 1.7550 2.8439 0.0000
Er 1.7550 0.0000 9.4568
Er 0.0000 4.5329 2.2652
Er 0.0000 1.6889 11.7220
```

=====

Q:
Computed, not measured: an optimized crystal structure of Pm5Ho2Er4 at the PBE level of DFT.

Computed properties:
Symmetry: No. 12
N(E_F): 14.6 states/eV/f.u.

Geometry as extended XYZ:
```
11
Lattice="5.9205 -3.5075 0.0000 5.9205 3.5075 0.0000 -2.0451 0.0000 8.7595" Properties=species:S:1:pos:R:3 pbc="T T T"
Pm 0.0000 0.0000 0.0000
Pm 3.9027 1.5597 5.9316
Pm 5.8933 1.5597 2.8280
Pm 3.9027 -1.5597 5.9316
Pm 5.8933 -1.5597 2.8280
Ho 0.6777 0.0000 5.7406
Ho 9.1182 0.0000 3.0189
Er 2.7348 0.0000 3.0368
Er 4.1172 0.0000 0.0157
Er 5.6787 0.0000 8.7438
Er 7.0611 0.0000 5.7227
```

=====

Q: Which of them is the most stable? A: Q.

=====

P:
Computed, not measured: an optimized crystal structure of Pm2Ho8Er at the PBE level of DFT.

Computed properties:
Symmetry: No. 12
N(E_F): 14.7 states/eV/f.u.

Geometry as extended XYZ:
```
11
Lattice="9.0423 -2.5044 0.0000 9.0423 2.5044 0.0000 -2.0910 0.0000 7.6494" Properties=species:S:1:pos:R:3 pbc="T T T"
Pm 3.8184 0.0000 1.0488
Pm 12.1752 0.0000 6.6006
Ho 0.3314 0.0000 1.7424
Ho 1.0252 0.0000 5.1902
Ho 4.5296 0.0000 4.5268
Ho 7.3207 0.0000 0.3572
Ho 8.6729 0.0000 7.2922
Ho 11.4639 0.0000 3.1226
Ho 14.9683 0.0000 2.4592
Ho 15.6621 0.0000 5.9070
Er 7.9968 0.0000 3.8247
```

=====

Q:
Computed, not measured: an optimized crystal structure of Pm2Ho8Er at the PBE level of DFT.

Computed properties:
Symmetry: No. 12
N(E_F): 14.8 states/eV/f.u.

Geometry as extended XYZ:
```
11
Lattice="4.4987 -8.0003 0.0000 4.4987 8.0003 0.0000 -3.1885 0.0000 4.9180" Properties=species:S:1:pos:R:3 pbc="T T T"
Pm 4.4987 4.9110 0.0000
Pm 4.4987 -4.9110 0.0000
Ho -0.2936 0.0000 1.4570
Ho -0.0608 1.8524 4.0642
Ho 2.9045 3.3129 2.4590
Ho -0.0608 -1.8524 4.0642
Ho 5.8698 1.8524 0.8538
Ho 2.9045 -3.3129 2.4590
Ho 5.8698 -1.8524 0.8538
Ho 6.1026 0.0000 3.4611
Er 2.9045 0.0000 2.4590
```

=====

Q: Which of them is the most stable? A: P.

=====

P:
Computed, not measured: an optimized crystal structure of Pm7HoEr12 at the PBE level of DFT.

Computed properties:
Symmetry: No. 148
N(E_F): 36.0 states/eV/f.u.

Geometry as extended XYZ:
```
20
Lattice="5.9548 3.4380 5.3909 -5.9548 3.4380 5.3909 0.0000 -6.8760 5.3909" Properties=species:S:1:pos:R:3 pbc="T T T"
Pm 0.0000 0.0000 0.0000
Pm -1.4493 -1.3749 4.6884
Pm -0.4661 1.9426 4.6884
Pm 1.9154 -0.5677 4.6884
Pm -1.9154 0.5677 11.4843
Pm 0.4660 -1.9426 11.4843
Pm 1.4493 1.3749 11.4843
Ho 0.0000 0.0000 8.0863
Er -2.1581 -4.8022 6.7415
Er -5.2379 -0.5321 9.4312
Er -3.1346 0.9406 7.2063
Er -2.3819 -2.2443 8.9664
Er 0.7527 -3.1850 7.2063
Er -3.0797 4.2701 6.7415
Er 3.0797 -4.2701 9.4312
Er -0.7527 3.1849 8.9663
Er 2.3819 2.2443 7.2063
Er 3.1346 -0.9406 8.9663
Er 5.2379 0.5321 6.7415
Er 2.1581 4.8022 9.4312
```

=====

Q:
Computed, not measured: an optimized crystal structure of Pm7HoEr12 at the PBE level of DFT.

Computed properties:
Symmetry: No. 229
N(E_F): 27.3 states/eV/f.u.

Geometry as extended XYZ:
```
20
Lattice="-5.6093 5.6093 5.6093 5.6093 -5.6093 5.6093 5.6093 5.6093 -5.6093" Properties=species:S:1:pos:R:3 pbc="T T T"
Pm 2.8047 2.8047 -2.8047
Pm 2.8047 -2.8047 2.8047
Pm 5.6093 0.0000 0.0000
Pm -2.8047 2.8047 2.8047
Pm 0.0000 5.6093 0.0000
Pm 0.0000 0.0000 5.6093
Pm 2.8047 2.8047 2.8047
Ho 0.0000 0.0000 0.0000
Er 5.6093 2.8454 -2.8454
Er 5.6093 -2.8454 2.8454
Er 2.8454 5.6093 -2.8454
Er 2.7639 2.7639 0.0000
Er 2.7639 0.0000 2.7639
Er 2.8454 -2.8454 5.6093
Er 0.0000 2.7639 2.7639
Er 5.6093 2.8454 2.8454
Er -2.8454 5.6093 2.8454
Er -2.8454 2.8454 5.6093
Er 2.8454 5.6093 2.8454
Er 2.8454 2.8454 5.6093
```

=====

Q: Which of them is the most stable? A: P.

=====

P:
Computed, not measured: an optimized crystal structure of Pm7Ho3Er2 at the PBE level of DFT.

Computed properties:
Symmetry: No. 65
N(E_F): 18.9 states/eV/f.u.

Geometry as extended XYZ:
```
12
Lattice="2.8859 -19.0333 0.0000 2.8859 19.0333 0.0000 0.0000 0.0000 3.6174" Properties=species:S:1:pos:R:3 pbc="T T T"
Pm 0.0000 0.0000 0.0000
Pm 2.8859 16.2623 1.8087
Pm 2.8859 10.1924 0.0000
Pm 2.8859 3.5436 0.0000
Pm 2.8859 -3.5436 0.0000
Pm 2.8859 -10.1924 0.0000
Pm 2.8859 -16.2623 1.8087
Ho 2.8859 7.0242 1.8087
Ho 2.8859 0.0000 1.8087
Ho 2.8859 -7.0242 1.8087
Er 2.8859 13.3657 0.0000
Er 2.8859 -13.3657 0.0000
```

=====

Q:
Computed, not measured: an optimized crystal structure of Pm7Ho3Er2 at the PBE level of DFT.

Computed properties:
Symmetry: No. 10
N(E_F): 17.5 states/eV/f.u.

Geometry as extended XYZ:
```
12
Lattice="6.4189 0.0000 0.0000 0.0000 3.5500 0.0000 -1.8106 0.0000 17.4159" Properties=species:S:1:pos:R:3 pbc="T T T"
Pm 0.0000 0.0000 0.0000
Pm 1.1293 1.7750 2.9848
Pm 0.7561 1.7750 8.6169
Pm 0.2611 0.0000 14.5000
Pm 4.3472 0.0000 2.9158
Pm 3.8522 1.7750 8.7989
Pm 3.4791 1.7750 14.4310
Ho 2.3012 0.0000 5.9324
Ho 3.2095 1.7750 0.0000
Ho 2.3071 0.0000 11.4834
Er -0.8334 1.7750 11.6761
Er 5.4417 1.7750 5.7398
```

=====

Q: Which of them is the most stable? A: Q.

=====

P:
Computed, not measured: an optimized crystal structure of Pm4Ho5Er at the PBE level of DFT.

Computed properties:
Symmetry: No. 107
N(E_F): 12.9 states/eV/f.u.

Geometry as extended XYZ:
```
10
Lattice="-5.3229 5.3229 2.9620 5.3229 -5.3229 2.9620 5.3229 5.3229 -2.9620" Properties=species:S:1:pos:R:3 pbc="T T T"
Pm 3.4392 0.0000 0.0000
Pm 7.2067 0.0000 0.0000
Pm 0.0000 3.4392 0.0000
Pm 0.0000 7.2067 0.0000
Ho 0.0000 0.0000 1.4222
Ho 3.3137 3.3137 0.0155
Ho 2.0093 -2.0093 2.9775
Ho -2.0093 2.0093 2.9775
Ho 2.0093 2.0093 2.9775
Er 0.0000 0.0000 4.5260
```

=====

Q:
Computed, not measured: an optimized crystal structure of Pm4Ho5Er at the PBE level of DFT.

Computed properties:
Symmetry: No. 12
N(E_F): 13.4 states/eV/f.u.

Geometry as extended XYZ:
```
10
Lattice="8.5676 -1.7616 0.0000 8.5676 1.7616 0.0000 -0.0060 0.0000 11.1563" Properties=species:S:1:pos:R:3 pbc="T T T"
Pm 0.5246 0.0000 2.7856
Pm 5.8960 0.0000 2.7902
Pm 11.2332 0.0000 8.3661
Pm 16.6046 0.0000 8.3707
Ho 2.9705 0.0000 0.5705
Ho 2.9727 0.0000 4.9988
Ho 8.5646 0.0000 5.5782
Ho 14.1565 0.0000 6.1575
Ho 14.1587 0.0000 10.5858
Er 8.5676 0.0000 0.0000
```

=====

Q: Which of them is the most stable? A: Q.

=====

P:
Computed, not measured: an optimized crystal structure of PmHo3Er7 at the PBE level of DFT.

Computed properties:
Symmetry: No. 10
N(E_F): 17.9 states/eV/f.u.

Geometry as extended XYZ:
```
11
Lattice="6.8855 0.0000 0.0000 0.0000 5.4851 0.0000 -3.2639 0.0000 9.2697" Properties=species:S:1:pos:R:3 pbc="T T T"
Pm 0.0000 0.0000 0.0000
Ho 0.2878 2.7425 4.5894
Ho 3.4427 0.0000 0.0000
Ho 3.3338 2.7425 4.6803
Er -1.6320 0.0000 4.6349
Er -1.5473 2.7425 7.3227
Er 1.7601 2.7425 1.3172
Er 1.8589 0.0000 3.0753
Er 1.7626 0.0000 6.1944
Er 1.8614 2.7425 7.9526
Er 5.1688 2.7425 1.9470
```

=====

Q:
Computed, not measured: an optimized crystal structure of PmHo3Er7 at the PBE level of DFT.

Computed properties:
Symmetry: No. 12
N(E_F): 16.7 states/eV/f.u.

Geometry as extended XYZ:
```
11
Lattice="6.2349 -5.5546 0.0000 6.2349 5.5546 0.0000 -2.6301 0.0000 5.0978" Properties=species:S:1:pos:R:3 pbc="T T T"
Pm 0.0000 0.0000 0.0000
Ho 4.9198 2.2925 2.5489
Ho 6.2349 0.0000 0.0000
Ho 4.9198 -2.2925 2.5489
Er -1.3151 0.0000 2.5489
Er 1.5694 2.1629 4.0445
Er 2.8877 0.0000 1.5026
Er 1.5694 -2.1629 4.0445
Er 8.2703 2.1629 1.0533
Er 6.9520 0.0000 3.5953
Er 8.2703 -2.1629 1.0533
```

=====

Q: Which of them is the most stable? A: P.